(1)
First-principles (GGA-PBE) data for an optimized crystal structure of YErCSe, as listed in OQMD.

Summary:
Raw total energy in eV/atom: -7.10
Crystal system: trigonal

```
data_YErCSe
_cell_length_a 3.7428
_cell_length_b 3.7428
_cell_length_c 13.2027
_cell_angle_alpha 90.00
_cell_angle_beta 90.00
_cell_angle_gamma 120.00
_space_group_name_H-M_alt 'P -3 m 1'
_space_group_IT_number 164
_space_group_name_Hall '-P 3 2"'
loop_
_atom_site_label
_atom_site_fract_x
_atom_site_fract_y
_atom_site_fract_z
_atom_site_occupancy
Y1 0.3333 0.6667 0.3987 1
Er1 0.3333 0.6667 0.0988 1
C1 0.0000 0.0000 0.0000 1
C2 0.0000 0.0000 0.5000 1
Se1 0.3333 0.6667 0.7527 1
```


(2)
First-principles (GGA-PBE) data for an optimized crystal structure of TbNdGe2Os, as listed in OQMD.

Summary:
Raw total energy in eV/atom: -6.64
Crystal system: monoclinic

```
data_TbNdGe2Os
_cell_length_a 10.963
_cell_length_b 4.335
_cell_length_c 10.366
_cell_angle_alpha 90.00
_cell_angle_beta 118.51
_cell_angle_gamma 90.00
_space_group_name_H-M_alt 'C 1 2/m 1'
_space_group_IT_number 12
loop_
_space_group_symop_operation_xyz
'x,y,z'
'-x,-y,-z'
'-x,y,-z'
'x,-y,z'
'x+1/2,y+1/2,z'
'-x+1/2,-y+1/2,-z'
'-x+1/2,y+1/2,-z'
'x+1/2,-y+1/2,z'
loop_
_atom_site_label
_atom_site_fract_x
_atom_site_fract_y
_atom_site_fract_z
_atom_site_occupancy
Tb1 0.001 0.000 0.172 1
Nd1 0.187 0.000 0.613 1
Ge1 0.006 0.500 0.370 1
Ge2 0.145 0.500 0.062 1
Os1 0.229 0.500 0.873 1
```


(3)
First-principles (GGA-PBE) data for an optimized crystal structure of Ba4TeAu3, as listed in OQMD.

Summary:
Raw total energy in eV/atom: -3.48
Crystal system: monoclinic

```
data_Ba4TeAu3
_cell_length_a 6.589
_cell_length_b 5.039
_cell_length_c 8.667
_cell_angle_alpha 90.00
_cell_angle_beta 90.89
_cell_angle_gamma 90.00
_space_group_name_H-M_alt 'P 1 m 1'
_space_group_IT_number 6
loop_
_space_group_symop_operation_xyz
'x,y,z'
'x,-y,z'
loop_
_atom_site_label
_atom_site_fract_x
_atom_site_fract_y
_atom_site_fract_z
_atom_site_occupancy
Ba1 0.000 0.000 0.000 1
Ba2 0.194 0.000 0.504 1
Ba3 0.486 0.500 0.864 1
Ba4 0.691 0.500 0.390 1
Te1 0.514 0.000 0.145 1
Au1 0.153 0.500 0.241 1
Au2 0.708 0.000 0.656 1
Au3 0.986 0.500 0.728 1
```


(4)
First-principles (GGA-PBE) data for an optimized crystal structure of DyErTeC, as listed in OQMD.

Summary:
Raw total energy in eV/atom: -6.26
Crystal system: hexagonal

```
data_DyErTeC
_cell_length_a 3.8139
_cell_length_b 3.8139
_cell_length_c 13.9681
_cell_angle_alpha 90.00
_cell_angle_beta 90.00
_cell_angle_gamma 120.00
_space_group_name_H-M_alt 'P -6 m 2'
_space_group_IT_number 187
_space_group_name_Hall 'P -6 2'
loop_
_atom_site_label
_atom_site_fract_x
_atom_site_fract_y
_atom_site_fract_z
_atom_site_occupancy
Dy1 0.0000 0.0000 0.1580 1
Er1 0.3333 0.6667 0.3442 1
Te1 0.0000 0.0000 0.5000 1
Te2 0.3333 0.6667 0.0000 1
C1 0.6667 0.3333 0.2521 1
```


(5)
First-principles (GGA-PBE) data for an optimized crystal structure of Sc2Cu3Mo4N3, as listed in OQMD.

Summary:
Raw total energy in eV/atom: -8.10
Crystal system: monoclinic

```
data_Sc2Cu3Mo4N3
_cell_length_a 9.234
_cell_length_b 5.374
_cell_length_c 13.239
_cell_angle_alpha 90.00
_cell_angle_beta 103.17
_cell_angle_gamma 90.00
_space_group_name_H-M_alt 'C 1 2/c 1'
_space_group_IT_number 15
loop_
_space_group_symop_operation_xyz
'x,y,z'
'-x,-y,-z'
'-x,y,-z+1/2'
'x,-y,z+1/2'
'x+1/2,y+1/2,z'
'-x+1/2,-y+1/2,-z'
'-x+1/2,y+1/2,-z+1/2'
'x+1/2,-y+1/2,z+1/2'
loop_
_atom_site_label
_atom_site_fract_x
_atom_site_fract_y
_atom_site_fract_z
_atom_site_occupancy
Sc1 0.045 0.081 0.388 1
Cu1 0.000 0.445 0.750 1
Cu2 0.237 0.156 0.749 1
Mo1 0.111 0.426 0.579 1
Mo2 0.219 0.415 0.921 1
N1 0.075 0.225 0.000 1
N2 0.250 0.250 0.500 1
```


(6)
First-principles (GGA-PBE) data for an optimized crystal structure of LiMg2Pt, as listed in OQMD.

Summary:
ΔE to the lowest computed polymorph in eV per atom: 0.287
Crystal system: hexagonal

```
data_LiMg2Pt
_cell_length_a 4.3843
_cell_length_b 4.3843
_cell_length_c 9.5571
_cell_angle_alpha 90.00
_cell_angle_beta 90.00
_cell_angle_gamma 120.00
_space_group_name_H-M_alt 'P 63/m m c'
_space_group_IT_number 194
_space_group_name_Hall '-P 6c 2c'
loop_
_atom_site_label
_atom_site_fract_x
_atom_site_fract_y
_atom_site_fract_z
_atom_site_occupancy
Li1 0.3333 0.6667 0.2500 1
Mg1 0.3333 0.6667 0.5847 1
Pt1 0.0000 0.0000 0.0000 1
```


(7)
First-principles (GGA-PBE) data for an optimized crystal structure of Li2HgAu, as listed in OQMD.

Summary:
ΔE to the lowest computed polymorph in eV per atom: 0.103
Crystal system: orthorhombic

```
data_Li2HgAu
_cell_length_a 7.572
_cell_length_b 7.151
_cell_length_c 5.352
_cell_angle_alpha 90.00
_cell_angle_beta 90.00
_cell_angle_gamma 90.00
_space_group_name_H-M_alt 'P n m a'
_space_group_IT_number 62
loop_
_space_group_symop_operation_xyz
'x,y,z'
'-x,-y,-z'
'-x+1/2,-y,z+1/2'
'x+1/2,y,-z+1/2'
'x+1/2,-y+1/2,-z+1/2'
'-x+1/2,y+1/2,z+1/2'
'-x,y+1/2,-z'
'x,-y+1/2,z'
loop_
_atom_site_label
_atom_site_fract_x
_atom_site_fract_y
_atom_site_fract_z
_atom_site_occupancy
Li1 0.191 0.052 0.094 1
Hg1 0.044 0.250 0.627 1
Au1 0.100 0.750 0.870 1
```


(8)
First-principles (GGA-PBE) data for an optimized crystal structure of SrLaPu, as listed in OQMD.

Summary:
ΔE to the lowest computed polymorph in eV per atom: 0.000
Crystal system: cubic

```
data_SrLaPu
_cell_length_a 8.130
_cell_length_b 8.130
_cell_length_c 8.130
_cell_angle_alpha 90.00
_cell_angle_beta 90.00
_cell_angle_gamma 90.00
_space_group_name_H-M_alt 'F -4 3 m'
_space_group_IT_number 216
_space_group_name_Hall 'F -4 2 3'
loop_
_atom_site_label
_atom_site_fract_x
_atom_site_fract_y
_atom_site_fract_z
_atom_site_occupancy
Sr1 0.000 0.000 0.000 1
La1 0.000 0.000 0.500 1
Pu1 0.250 0.250 0.250 1
```


(9)
First-principles (GGA-PBE) data for an optimized crystal structure of AcGaAu, as listed in OQMD.

Summary:
ΔE to the lowest computed polymorph in eV per atom: 0.000
Crystal system: orthorhombic

```
data_AcGaAu
_cell_length_a 4.773
_cell_length_b 7.843
_cell_length_c 8.132
_cell_angle_alpha 90.00
_cell_angle_beta 90.00
_cell_angle_gamma 90.00
_space_group_name_H-M_alt 'I m m 2'
_space_group_IT_number 44
loop_
_space_group_symop_operation_xyz
'x,y,z'
'-x,-y,z'
'-x,y,z'
'x,-y,z'
'x+1/2,y+1/2,z+1/2'
'-x+1/2,-y+1/2,z+1/2'
'-x+1/2,y+1/2,z+1/2'
'x+1/2,-y+1/2,z+1/2'
loop_
_atom_site_label
_atom_site_fract_x
_atom_site_fract_y
_atom_site_fract_z
_atom_site_occupancy
Ac1 0.000 0.000 0.000 1
Ac2 0.000 0.500 0.061 1
Ga1 0.000 0.188 0.361 1
Au1 0.000 0.275 0.694 1
```


(10)
First-principles (GGA-PBE) data for an optimized crystal structure of LuCuSnSe3, as listed in OQMD.

Summary:
ΔE to the lowest computed polymorph in eV per atom: 0.055
Crystal system: monoclinic

```
data_LuCuSnSe3
_cell_length_a 17.950
_cell_length_b 3.993
_cell_length_c 8.190
_cell_angle_alpha 90.00
_cell_angle_beta 102.95
_cell_angle_gamma 90.00
_space_group_name_H-M_alt 'C 1 2/m 1'
_space_group_IT_number 12
loop_
_space_group_symop_operation_xyz
'x,y,z'
'-x,-y,-z'
'-x,y,-z'
'x,-y,z'
'x+1/2,y+1/2,z'
'-x+1/2,-y+1/2,-z'
'-x+1/2,y+1/2,-z'
'x+1/2,-y+1/2,z'
loop_
_atom_site_label
_atom_site_fract_x
_atom_site_fract_y
_atom_site_fract_z
_atom_site_occupancy
Lu1 0.162 0.000 0.083 1
Cu1 0.039 0.500 0.208 1
Sn1 0.126 0.000 0.568 1
Se1 0.000 0.000 0.000 1
Se2 0.000 0.500 0.500 1
Se3 0.176 0.500 0.852 1
Se4 0.177 0.500 0.325 1
```


(11)
First-principles (GGA-PBE) data for an optimized crystal structure of Li4CoGe2Pt, as listed in OQMD.

Summary:
Raw total energy in eV/atom: -4.19
Crystal system: tetragonal

```
data_Li4CoGe2Pt
_cell_length_a 4.163
_cell_length_b 4.163
_cell_length_c 5.926
_cell_angle_alpha 90.00
_cell_angle_beta 90.00
_cell_angle_gamma 90.00
_space_group_name_H-M_alt 'P -4 m 2'
_space_group_IT_number 115
loop_
_space_group_symop_operation_xyz
'x,y,z'
'y,-x,-z'
'-x,-y,z'
'-y,x,-z'
'-x,y,z'
'-y,-x,-z'
'x,-y,z'
'y,x,-z'
loop_
_atom_site_label
_atom_site_fract_x
_atom_site_fract_y
_atom_site_fract_z
_atom_site_occupancy
Li1 0.000 0.000 0.000 1
Li2 0.000 0.500 0.743 1
Li3 0.500 0.500 0.500 1
Co1 0.000 0.000 0.500 1
Ge1 0.000 0.500 0.274 1
Pt1 0.500 0.500 0.000 1
```


(12)
First-principles (GGA-PBE) data for an optimized crystal structure of Lu4AlNiC2, as listed in OQMD.

Summary:
Raw total energy in eV/atom: -6.03
Crystal system: hexagonal

```
data_Lu4AlNiC2
_cell_length_a 3.4908
_cell_length_b 3.4908
_cell_length_c 14.3077
_cell_angle_alpha 90.00
_cell_angle_beta 90.00
_cell_angle_gamma 120.00
_space_group_name_H-M_alt 'P -6 m 2'
_space_group_IT_number 187
_space_group_name_Hall 'P -6 2'
loop_
_atom_site_label
_atom_site_fract_x
_atom_site_fract_y
_atom_site_fract_z
_atom_site_occupancy
Lu1 0.0000 0.0000 0.1373 1
Lu2 0.3333 0.6667 0.3206 1
Al1 0.0000 0.0000 0.5000 1
Ni1 0.3333 0.6667 0.0000 1
C1 0.6667 0.3333 0.2301 1
```


(13)
First-principles (GGA-PBE) data for an optimized crystal structure of ZrGaCoIr, as listed in OQMD.

Summary:
ΔE to the lowest computed polymorph in eV per atom: 0.000
Crystal system: cubic

```
data_ZrGaCoIr
_cell_length_a 6.265
_cell_length_b 6.265
_cell_length_c 6.265
_cell_angle_alpha 90.00
_cell_angle_beta 90.00
_cell_angle_gamma 90.00
_space_group_name_H-M_alt 'F -4 3 m'
_space_group_IT_number 216
_space_group_name_Hall 'F -4 2 3'
loop_
_atom_site_label
_atom_site_fract_x
_atom_site_fract_y
_atom_site_fract_z
_atom_site_occupancy
Zr1 0.000 0.000 0.000 1
Ga1 0.000 0.000 0.500 1
Co1 0.250 0.250 0.750 1
Ir1 0.250 0.250 0.250 1
```


(14)
First-principles (GGA-PBE) data for an optimized crystal structure of PdS2, as listed in OQMD.

Summary:
Raw total energy in eV/atom: -4.42
Crystal system: hexagonal

```
data_PdS2
_cell_length_a 3.8990
_cell_length_b 3.8990
_cell_length_c 9.3345
_cell_angle_alpha 90.00
_cell_angle_beta 90.00
_cell_angle_gamma 120.00
_space_group_name_H-M_alt 'P 63/m m c'
_space_group_IT_number 194
_space_group_name_Hall '-P 6c 2c'
loop_
_atom_site_label
_atom_site_fract_x
_atom_site_fract_y
_atom_site_fract_z
_atom_site_occupancy
Pd1 0.0000 0.0000 0.2500 1
S1 0.3333 0.6667 0.1378 1
```


(15)
First-principles (GGA-PBE) data for an optimized crystal structure of TmScGe, as listed in OQMD.

Summary:
Raw total energy in eV/atom: -5.67
Crystal system: cubic

```
data_TmScGe
_cell_length_a 6.637
_cell_length_b 6.637
_cell_length_c 6.637
_cell_angle_alpha 90.00
_cell_angle_beta 90.00
_cell_angle_gamma 90.00
_space_group_name_H-M_alt 'F -4 3 m'
_space_group_IT_number 216
_space_group_name_Hall 'F -4 2 3'
loop_
_atom_site_label
_atom_site_fract_x
_atom_site_fract_y
_atom_site_fract_z
_atom_site_occupancy
Tm1 0.000 0.000 0.000 1
Sc1 0.000 0.000 0.500 1
Ge1 0.250 0.250 0.750 1
```


(16)
First-principles (GGA-PBE) data for an optimized crystal structure of SmGd2HoTl2, as listed in OQMD.

Summary:
Raw total energy in eV/atom: -4.15
Crystal system: hexagonal

```
data_SmGd2HoTl2
_cell_length_a 5.4374
_cell_length_b 5.4374
_cell_length_c 6.7797
_cell_angle_alpha 90.00
_cell_angle_beta 90.00
_cell_angle_gamma 120.00
_space_group_name_H-M_alt 'P -6 m 2'
_space_group_IT_number 187
_space_group_name_Hall 'P -6 2'
loop_
_atom_site_label
_atom_site_fract_x
_atom_site_fract_y
_atom_site_fract_z
_atom_site_occupancy
Sm1 0.0000 0.0000 0.0000 1
Gd1 0.6667 0.3333 0.2561 1
Ho1 0.3333 0.6667 0.5000 1
Tl1 0.0000 0.0000 0.5000 1
Tl2 0.3333 0.6667 0.0000 1
```


(17)
First-principles (GGA-PBE) data for an optimized crystal structure of TcNiB, as listed in OQMD.

Summary:
ΔE to the lowest computed polymorph in eV per atom: 0.121
Crystal system: cubic

```
data_TcNiB
_cell_length_a 5.360
_cell_length_b 5.360
_cell_length_c 5.360
_cell_angle_alpha 90.00
_cell_angle_beta 90.00
_cell_angle_gamma 90.00
_space_group_name_H-M_alt 'F -4 3 m'
_space_group_IT_number 216
_space_group_name_Hall 'F -4 2 3'
loop_
_atom_site_label
_atom_site_fract_x
_atom_site_fract_y
_atom_site_fract_z
_atom_site_occupancy
Tc1 0.000 0.000 0.000 1
Ni1 0.250 0.250 0.250 1
B1 0.250 0.250 0.750 1
```


(18)
First-principles (GGA-PBE) data for an optimized crystal structure of CoSiGeAu, as listed in OQMD.

Summary:
ΔE to the lowest computed polymorph in eV per atom: 0.105
Crystal system: cubic

```
data_CoSiGeAu
_cell_length_a 6.252
_cell_length_b 6.252
_cell_length_c 6.252
_cell_angle_alpha 90.00
_cell_angle_beta 90.00
_cell_angle_gamma 90.00
_space_group_name_H-M_alt 'F -4 3 m'
_space_group_IT_number 216
_space_group_name_Hall 'F -4 2 3'
loop_
_atom_site_label
_atom_site_fract_x
_atom_site_fract_y
_atom_site_fract_z
_atom_site_occupancy
Co1 0.000 0.000 0.000 1
Si1 0.000 0.000 0.500 1
Ge1 0.250 0.250 0.750 1
Au1 0.250 0.250 0.250 1
```


(19)
First-principles (GGA-PBE) data for an optimized crystal structure of LuFeCuSi, as listed in OQMD.

Summary:
ΔE to the lowest computed polymorph in eV per atom: 0.000
Crystal system: cubic

```
data_LuFeCuSi
_cell_length_a 6.140
_cell_length_b 6.140
_cell_length_c 6.140
_cell_angle_alpha 90.00
_cell_angle_beta 90.00
_cell_angle_gamma 90.00
_space_group_name_H-M_alt 'F -4 3 m'
_space_group_IT_number 216
_space_group_name_Hall 'F -4 2 3'
loop_
_atom_site_label
_atom_site_fract_x
_atom_site_fract_y
_atom_site_fract_z
_atom_site_occupancy
Lu1 0.000 0.000 0.000 1
Fe1 0.250 0.250 0.250 1
Cu1 0.250 0.250 0.750 1
Si1 0.000 0.000 0.500 1
```


(20)
First-principles (GGA-PBE) data for an optimized crystal structure of Dy2ZnInCo, as listed in OQMD.

Summary:
Raw total energy in eV/atom: -4.44
Crystal system: orthorhombic

```
data_Dy2ZnInCo
_cell_length_a 3.690
_cell_length_b 4.089
_cell_length_c 14.173
_cell_angle_alpha 90.00
_cell_angle_beta 90.00
_cell_angle_gamma 90.00
_space_group_name_H-M_alt 'A m m 2'
_space_group_IT_number 38
loop_
_space_group_symop_operation_xyz
'x,y,z'
'-x,-y,z'
'-x,y,z'
'x,-y,z'
'x,y+1/2,z+1/2'
'-x,-y+1/2,z+1/2'
'-x,y+1/2,z+1/2'
'x,-y+1/2,z+1/2'
loop_
_atom_site_label
_atom_site_fract_x
_atom_site_fract_y
_atom_site_fract_z
_atom_site_occupancy
Dy1 0.000 0.000 0.000 1
Dy2 0.000 0.000 0.271 1
Zn1 0.500 0.000 0.434 1
In1 0.500 0.000 0.643 1
Co1 0.500 0.000 0.841 1
```